Entry 1:
{"formula": "MgZn2Ir", "functional": "PBE", "state": "optimized geometry", "cell": [[2.6864, -4.4719, 0.0000], [2.6864, 4.4719, 0.0000], [-1.3579, 0.0000, 2.5528]], "species": ["Mg", "Zn", "Zn", "Ir"], "frac_coords": [[0.0000, 0.0000, 0.0000], [0.0000, 0.5000, 0.5000], [0.5000, 0.0000, 0.5000], [0.5000, 0.5000, 0.0000]], "magmom_total_mub_per_cell": 0.0, "final_energy_ev_per_atom": -3.38, "formation_enthalpy_0k_mev_per_atom": -126}

Entry 2:
{"formula": "Mg6Zn2Ir", "functional": "PBE", "state": "optimized geometry", "cell": [[7.1865, -3.2393, 0.0000], [7.1865, 3.2393, 0.0000], [-1.3882, 0.0000, 4.2646]], "species": ["Mg", "Mg", "Mg", "Mg", "Mg", "Mg", "Zn", "Zn", "Ir"], "frac_coords": [[0.0810, 0.6024, 0.3421], [0.2301, 0.7699, 0.0000], [0.3976, 0.9190, 0.6579], [0.6024, 0.0810, 0.3421], [0.7699, 0.2301, 0.0000], [0.9190, 0.3976, 0.6579], [0.3320, 0.3320, 0.8323], [0.6680, 0.6680, 0.1677], [0.0000, 0.0000, 0.5000]], "de_polymorph_ev_per_atom": 0.073, "magmom_total_mub_per_cell": 0.0, "final_energy_ev_per_atom": -2.36, "formation_enthalpy_0k_mev_per_atom": -33}

Entry 3:
{"formula": "Mg2Zn15Ir2", "functional": "PBE", "state": "optimized geometry", "cell": [[4.4484, 2.5683, 4.3487], [-4.4484, 2.5683, 4.3487], [0.0000, -5.1365, 4.3487]], "species": ["Mg", "Mg", "Zn", "Zn", "Zn", "Zn", "Zn", "Zn", "Zn", "Zn", "Zn", "Zn", "Zn", "Zn", "Zn", "Zn", "Zn", "Ir", "Ir"], "frac_coords": [[0.1758, 0.1758, 0.1758], [0.8242, 0.8242, 0.8242], [0.0000, 0.5000, 0.5000], [0.1422, 0.1422, 0.6474], [0.1422, 0.6474, 0.1422], [0.2148, 0.5000, 0.7852], [0.2148, 0.7852, 0.5000], [0.3526, 0.8578, 0.8578], [0.5000, 0.0000, 0.5000], [0.5000, 0.2148, 0.7852], [0.5000, 0.5000, 0.0000], [0.5000, 0.7852, 0.2148], [0.6474, 0.1422, 0.1422], [0.7852, 0.2148, 0.5000], [0.7852, 0.5000, 0.2148], [0.8578, 0.3526, 0.8578], [0.8578, 0.8578, 0.3526], [0.3900, 0.3900, 0.3900], [0.6100, 0.6100, 0.6100]], "magmom_total_mub_per_cell": 0.0, "final_energy_ev_per_atom": -2.15, "formation_enthalpy_0k_mev_per_atom": -49}

Entry 4:
{"formula": "MgZnIr2", "functional": "PBE", "state": "optimized geometry", "cell": [[1.4221, 0.8210, 8.5229], [-1.4221, 0.8210, 8.5229], [0.0000, -1.6421, 8.5229]], "species": ["Mg", "Zn", "Ir", "Ir"], "frac_coords": [[0.0000, 0.0000, 0.0000], [0.5000, 0.5000, 0.5000], [0.2480, 0.2480, 0.2480], [0.7520, 0.7520, 0.7520]], "magmom_total_mub_per_cell": 0.0, "final_energy_ev_per_atom": -5.31, "formation_enthalpy_0k_mev_per_atom": -158}

Entry 5:
{"formula": "MgZn6Ir", "functional": "PBE", "state": "optimized geometry", "cell": [[4.9887, 0.0000, 0.0000], [0.0000, 4.9887, 0.0000], [0.0000, 0.0000, 4.9887]], "species": ["Mg", "Zn", "Zn", "Zn", "Zn", "Zn", "Zn", "Ir"], "frac_coords": [[0.0000, 0.0000, 0.0000], [0.0000, 0.2562, 0.5000], [0.0000, 0.7438, 0.5000], [0.2562, 0.5000, 0.0000], [0.5000, 0.0000, 0.2562], [0.5000, 0.0000, 0.7438], [0.7438, 0.5000, 0.0000], [0.5000, 0.5000, 0.5000]], "de_polymorph_ev_per_atom": 0.093, "magmom_total_mub_per_cell": 0.0, "final_energy_ev_per_atom": -2.28, "formation_enthalpy_0k_mev_per_atom": -16}

Entry 6:
{"formula": "MgZnIr2", "functional": "PBE", "state": "optimized geometry", "cell": [[2.7917, 0.0000, 0.0000], [0.0000, 4.1508, 0.0000], [-1.2850, 0.0000, 5.2002]], "species": ["Mg", "Zn", "Ir", "Ir"], "frac_coords": [[0.0000, 0.0000, 0.0000], [0.0000, 0.0000, 0.5000], [0.3772, 0.5000, 0.7357], [0.6228, 0.5000, 0.2643]], "magmom_total_mub_per_cell": 0.0, "final_energy_ev_per_atom": -5.35, "formation_enthalpy_0k_mev_per_atom": -200}

Entry 7:
{"formula": "Mg3ZnIr", "functional": "PBE", "state": "optimized geometry", "cell": [[4.9817, 0.0000, 0.0000], [0.0000, 4.9817, 0.0000], [0.0000, 0.0000, 4.9817]], "species": ["Mg", "Mg", "Mg", "Zn", "Ir"], "frac_coords": [[0.0000, 0.0000, 0.5000], [0.0000, 0.5000, 0.0000], [0.5000, 0.0000, 0.0000], [0.5000, 0.5000, 0.5000], [0.0000, 0.0000, 0.0000]], "de_polymorph_ev_per_atom": 0.347, "magmom_total_mub_per_cell": 0.0, "final_energy_ev_per_atom": -2.84, "formation_enthalpy_0k_mev_per_atom": 140}

Entry 8:
{"formula": "Mg2Zn5Ir2", "functional": "PBE", "state": "optimized geometry", "cell": [[2.9121, 0.0000, 0.0000], [-0.0064, 6.3843, 0.0000], [-1.4204, -0.3197, 8.5334]], "species": ["Mg", "Mg", "Zn", "Zn", "Zn", "Zn", "Zn", "Ir", "Ir"], "frac_coords": [[0.1690, 0.1042, 0.3482], [0.8310, 0.8958, 0.6518], [0.0000, 0.0000, 0.0000], [0.0636, 0.6345, 0.1291], [0.3113, 0.4625, 0.6220], [0.6887, 0.5375, 0.3780], [0.9364, 0.3655, 0.8709], [0.4398, 0.7065, 0.8747], [0.5602, 0.2935, 0.1253]], "magmom_total_mub_per_cell": 0.0, "final_energy_ev_per_atom": -3.13, "formation_enthalpy_0k_mev_per_atom": -97}

Entry 9:
{"formula": "Mg2Zn3Ir", "functional": "PBE", "state": "optimized geometry", "cell": [[4.4173, -2.5644, 0.0000], [4.4173, 2.5644, 0.0000], [-2.9397, 0.0000, 4.2808]], "species": ["Mg", "Mg", "Zn", "Zn", "Zn", "Ir"], "frac_coords": [[0.1325, 0.1325, 0.3973], [0.8675, 0.8675, 0.6027], [0.0000, 0.5000, 0.0000], [0.5000, 0.0000, 0.0000], [0.5000, 0.5000, 0.0000], [0.5000, 0.5000, 0.5000]], "de_polymorph_ev_per_atom": 0.000, "magmom_total_mub_per_cell": 0.0, "final_energy_ev_per_atom": -2.99, "formation_enthalpy_0k_mev_per_atom": -342}

Entry 10:
{"formula": "MgZnIr2", "functional": "PBE", "state": "optimized geometry", "cell": [[4.7237, -1.4249, 0.0000], [4.7237, 1.4249, 0.0000], [-1.0025, 0.0000, 4.4686]], "species": ["Mg", "Zn", "Ir", "Ir"], "frac_coords": [[0.0000, 0.0000, 0.0000], [0.7665, 0.7665, 0.2318], [0.2450, 0.2450, 0.7109], [0.5084, 0.5084, 0.5103]], "magmom_total_mub_per_cell": 0.0, "final_energy_ev_per_atom": -5.33, "formation_enthalpy_0k_mev_per_atom": -182}

Entry 11:
{"formula": "MgZnIr", "functional": "PBE", "state": "optimized geometry", "cell": [[-1.8931, 1.8931, 7.0250], [1.8931, -1.8931, 7.0250], [1.8931, 1.8931, -7.0250]], "species": ["Mg", "Mg", "Zn", "Zn", "Ir", "Ir"], "frac_coords": [[0.1821, 0.1821, 0.0000], [0.8179, 0.8179, 0.0000], [0.0000, 0.5000, 0.5000], [0.5000, 0.0000, 0.5000], [0.3769, 0.3769, 0.0000], [0.6231, 0.6231, 0.0000]], "magmom_total_mub_per_cell": 0.0, "final_energy_ev_per_atom": -4.08, "formation_enthalpy_0k_mev_per_atom": -175}

Entry 12:
{"formula": "MgZn2Ir", "functional": "PBE", "state": "optimized geometry", "cell": [[1.4623, -2.4230, 0.0000], [1.4623, 2.4230, 0.0000], [0.0000, 0.0000, 9.0978]], "species": ["Mg", "Zn", "Zn", "Ir"], "frac_coords": [[0.0000, 0.0000, 0.0000], [0.5000, 0.5000, 0.2673], [0.5000, 0.5000, 0.7327], [0.0000, 0.0000, 0.5000]], "magmom_total_mub_per_cell": 0.0, "final_energy_ev_per_atom": -3.22, "formation_enthalpy_0k_mev_per_atom": 35}

Entry 13:
{"formula": "Mg3Zn3Ir", "functional": "PBE", "state": "optimized geometry", "cell": [[4.5399, -4.6516, 0.0000], [4.5399, 4.6516, 0.0000], [0.0000, 0.0000, 5.8582]], "species": ["Mg", "Mg", "Mg", "Mg", "Mg", "Mg", "Zn", "Zn", "Zn", "Zn", "Zn", "Zn", "Ir", "Ir"], "frac_coords": [[0.1565, 0.1565, 0.5000], [0.2406, 0.7594, 0.0000], [0.2524, 0.2524, 0.0000], [0.7476, 0.7476, 0.0000], [0.7594, 0.2406, 0.0000], [0.8435, 0.8435, 0.5000], [0.0000, 0.5000, 0.2708], [0.0000, 0.5000, 0.7292], [0.5000, 0.0000, 0.2708], [0.5000, 0.0000, 0.7292], [0.5000, 0.5000, 0.2783], [0.5000, 0.5000, 0.7217], [0.2540, 0.7460, 0.5000], [0.7460, 0.2540, 0.5000]], "magmom_total_mub_per_cell": 0.0, "final_energy_ev_per_atom": -2.63, "formation_enthalpy_0k_mev_per_atom": -134}

Entry 14:
{"formula": "Mg2Zn3Ir", "functional": "PBE", "state": "optimized geometry", "cell": [[-2.2520, 2.4555, 5.5182], [2.2520, -2.4555, 5.5182], [2.2520, 2.4555, -5.5182]], "species": ["Mg", "Mg", "Zn", "Zn", "Zn", "Ir"], "frac_coords": [[0.2478, 0.2478, 0.0000], [0.7522, 0.7522, 0.0000], [0.1120, 0.6120, 0.5000], [0.5000, 0.0000, 0.5000], [0.8880, 0.3880, 0.5000], [0.0000, 0.0000, 0.0000]], "de_polymorph_ev_per_atom": 0.374, "magmom_total_mub_per_cell": 0.0, "final_energy_ev_per_atom": -2.61, "formation_enthalpy_0k_mev_per_atom": 32}

Entry 15:
{"formula": "MgZn5Ir2", "functional": "PBE", "state": "optimized geometry", "cell": [[-2.1019, 3.8688, 4.1148], [2.1019, -3.8688, 4.1148], [2.1019, 3.8688, -4.1148]], "species": ["Mg", "Zn", "Zn", "Zn", "Zn", "Zn", "Ir", "Ir"], "frac_coords": [[0.0000, 0.0000, 0.0000], [0.1473, 0.3185, 0.8288], [0.4897, 0.3185, 0.1712], [0.5000, 0.0000, 0.5000], [0.5103, 0.6815, 0.8288], [0.8527, 0.6815, 0.1712], [0.1993, 0.6993, 0.5000], [0.8007, 0.3007, 0.5000]], "magmom_total_mub_per_cell": 0.0, "final_energy_ev_per_atom": -3.38, "formation_enthalpy_0k_mev_per_atom": -167}

Entry 16:
{"formula": "Mg12Zn6Ir", "functional": "PBE", "state": "optimized geometry", "cell": [[5.6076, 3.2375, 3.3596], [-5.6076, 3.2375, 3.3596], [0.0000, -6.4751, 3.3596]], "species": ["Mg", "Mg", "Mg", "Mg", "Mg", "Mg", "Mg", "Mg", "Mg", "Mg", "Mg", "Mg", "Zn", "Zn", "Zn", "Zn", "Zn", "Zn", "Ir"], "frac_coords": [[0.1652, 0.4399, 0.1676], [0.1676, 0.1652, 0.4399], [0.1799, 0.5802, 0.6330], [0.3670, 0.8201, 0.4198], [0.4198, 0.3670, 0.8201], [0.4399, 0.1676, 0.1652], [0.5601, 0.8324, 0.8348], [0.5802, 0.6330, 0.1799], [0.6330, 0.1799, 0.5802], [0.8201, 0.4198, 0.3670], [0.8324, 0.8348, 0.5601], [0.8348, 0.5601, 0.8324], [0.0164, 0.2344, 0.7743], [0.2257, 0.9836, 0.7657], [0.2344, 0.7743, 0.0164], [0.7657, 0.2257, 0.9836], [0.7743, 0.0164, 0.2344], [0.9836, 0.7657, 0.2257], [0.5000, 0.5000, 0.5000]], "magmom_total_mub_per_cell": 0.0, "final_energy_ev_per_atom": -1.96, "formation_enthalpy_0k_mev_per_atom": -86}

Entry 17:
{"formula": "Mg3Zn6Ir2", "functional": "PBE", "state": "optimized geometry", "cell": [[4.9514, 0.0000, 0.0000], [-2.4713, 4.4783, 0.0000], [-0.0619, -0.6963, 8.1759]], "species": ["Mg", "Mg", "Mg", "Zn", "Zn", "Zn", "Zn", "Zn", "Zn", "Ir", "Ir"], "frac_coords": [[0.0000, 0.0000, 0.0000], [0.0300, 0.0505, 0.3372], [0.9700, 0.9495, 0.6628], [0.0087, 0.5175, 0.1839], [0.3421, 0.7023, 0.5086], [0.4875, 0.4805, 0.8107], [0.5125, 0.5195, 0.1893], [0.6579, 0.2977, 0.4914], [0.9913, 0.4825, 0.8161], [0.4925, 0.9868, 0.8220], [0.5075, 0.0132, 0.1780]], "magmom_total_mub_per_cell": 0.0, "final_energy_ev_per_atom": -2.88, "formation_enthalpy_0k_mev_per_atom": -138}

Entry 18:
{"formula": "MgZnIr", "functional": "PBE", "state": "optimized geometry", "cell": [[0.0000, 2.3724, 6.5781], [1.5229, 0.0000, 6.5781], [1.5229, 2.3724, 0.0000]], "species": ["Mg", "Zn", "Ir"], "frac_coords": [[0.0000, 0.0000, 0.0000], [0.3202, 0.3202, 0.6798], [0.6621, 0.6621, 0.3379]], "magmom_total_mub_per_cell": 0.0, "final_energy_ev_per_atom": -3.96, "formation_enthalpy_0k_mev_per_atom": -52}

Entry 19:
{"formula": "Mg3ZnIr", "functional": "PBE", "state": "optimized geometry", "cell": [[4.7129, 0.0000, 0.0000], [0.0000, 4.7129, 0.0000], [0.0000, 0.0000, 4.7129]], "species": ["Mg", "Mg", "Mg", "Zn", "Ir"], "frac_coords": [[0.0000, 0.0000, 0.5000], [0.0000, 0.5000, 0.0000], [0.5000, 0.0000, 0.0000], [0.0000, 0.0000, 0.0000], [0.5000, 0.5000, 0.5000]], "de_polymorph_ev_per_atom": 0.889, "magmom_total_mub_per_cell": 0.0, "final_energy_ev_per_atom": -2.30, "formation_enthalpy_0k_mev_per_atom": 682}

Entry 20:
{"formula": "Mg3ZnIr", "functional": "PBE", "state": "optimized geometry", "cell": [[8.0431, -4.3924, 0.0000], [8.0431, 4.3924, 0.0000], [-2.1274, 0.0000, 5.4573]], "species": ["Mg", "Mg", "Mg", "Mg", "Mg", "Mg", "Mg", "Mg", "Mg", "Mg", "Mg", "Mg", "Zn", "Zn", "Zn", "Zn", "Ir", "Ir", "Ir", "Ir"], "frac_coords": [[0.0381, 0.5381, 0.2880], [0.0590, 0.1505, 0.1047], [0.1505, 0.0590, 0.6047], [0.3496, 0.4409, 0.8941], [0.4409, 0.3496, 0.3941], [0.4619, 0.9619, 0.2120], [0.5381, 0.0381, 0.7880], [0.5591, 0.6504, 0.6059], [0.6504, 0.5591, 0.1059], [0.8495, 0.9410, 0.3953], [0.9410, 0.8495, 0.8953], [0.9619, 0.4619, 0.7120], [0.2505, 0.7495, 0.2500], [0.2495, 0.7505, 0.7500], [0.7505, 0.2495, 0.2500], [0.7495, 0.2505, 0.7500], [0.2500, 0.2500, 0.9997], [0.2500, 0.2500, 0.4997], [0.7500, 0.7500, 0.0003], [0.7500, 0.7500, 0.5003]], "de_polymorph_ev_per_atom": 0.016, "magmom_total_mub_per_cell": 0.0, "final_energy_ev_per_atom": -3.17, "formation_enthalpy_0k_mev_per_atom": -191}

Entry 21:
{"formula": "Mg16Zn12Ir", "functional": "PBE", "state": "optimized geometry", "cell": [[5.1478, -6.9954, 0.0000], [5.1478, 6.9954, 0.0000], [-4.7782, 0.0000, 7.3612]], "species": ["Mg", "Mg", "Mg", "Mg", "Mg", "Mg", "Mg", "Mg", "Mg", "Mg", "Mg", "Mg", "Mg", "Mg", "Mg", "Mg", "Zn", "Zn", "Zn", "Zn", "Zn", "Zn", "Zn", "Zn", "Zn", "Zn", "Zn", "Zn", "Ir"], "frac_coords": [[0.0000, 0.0000, 0.0000], [0.0019, 0.4033, 0.9802], [0.0862, 0.7122, 0.3444], [0.0932, 0.3245, 0.6436], [0.2889, 0.2889, 0.9779], [0.2965, 0.9931, 0.2702], [0.3203, 0.6799, 0.6592], [0.3245, 0.0932, 0.6436], [0.3707, 0.6833, 0.0700], [0.4033, 0.0019, 0.9802], [0.6799, 0.3203, 0.6592], [0.6799, 0.6799, 0.6504], [0.6833, 0.3707, 0.0700], [0.7122, 0.0862, 0.3444], [0.7420, 0.7420, 0.3319], [0.9931, 0.2965, 0.2702], [0.0479, 0.6613, 0.8406], [0.0546, 0.8686, 0.6802], [0.3279, 0.3279, 0.4834], [0.3366, 0.5331, 0.3117], [0.4931, 0.4931, 0.8408], [0.5072, 0.8827, 0.4818], [0.5331, 0.3366, 0.3117], [0.6613, 0.0479, 0.8406], [0.6732, 0.8574, 0.0202], [0.8574, 0.6732, 0.0202], [0.8686, 0.0546, 0.6802], [0.8827, 0.5072, 0.4818], [0.0099, 0.0099, 0.3226]], "magmom_total_mub_per_cell": 0.0, "final_energy_ev_per_atom": -1.82, "formation_enthalpy_0k_mev_per_atom": -110}

Entry 22:
{"formula": "MgZn3Ir", "functional": "PBE", "state": "optimized geometry", "cell": [[4.5157, -3.8133, 0.0000], [4.5157, 3.8133, 0.0000], [-0.2393, 0.0000, 4.8468]], "species": ["Mg", "Mg", "Zn", "Zn", "Zn", "Zn", "Zn", "Zn", "Ir", "Ir"], "frac_coords": [[0.1325, 0.8675, 0.7500], [0.8675, 0.1325, 0.2500], [0.1953, 0.3604, 0.5349], [0.3019, 0.6981, 0.2500], [0.3604, 0.1953, 0.0349], [0.6396, 0.8047, 0.9651], [0.6981, 0.3019, 0.7500], [0.8047, 0.6396, 0.4651], [0.0000, 0.5000, 0.0000], [0.5000, 0.0000, 0.5000]], "de_polymorph_ev_per_atom": 0.007, "magmom_total_mub_per_cell": 0.0, "final_energy_ev_per_atom": -3.03, "formation_enthalpy_0k_mev_per_atom": -176}

Entry 23:
{"formula": "MgZnIr", "functional": "PBE", "state": "optimized geometry", "cell": [[2.8959, 0.0000, 0.0000], [-1.4480, 2.5079, 0.0000], [0.0000, 0.0000, 6.5306]], "species": ["Mg", "Zn", "Ir"], "frac_coords": [[0.0000, 0.0000, 0.0000], [0.3333, 0.6667, 0.3611], [0.6667, 0.3333, 0.6754]], "magmom_total_mub_per_cell": 0.0, "final_energy_ev_per_atom": -4.02, "formation_enthalpy_0k_mev_per_atom": -108}